VASP calculation (PBE) on a relaxed CaZrScAu2 crystal.

It has space group P4/mmm (No. 123), with a = 5.080 Å, b = 5.080 Å, c = 5.112 Å, α = 90.00°, β = 90.00° and γ = 90.00°. The distinct sites, in fractional coordinates, are Ca at (0.000, 0.000, 0.000), Zr at (0.000, 0.000, 0.500), Sc at (0.500, 0.500, 0.500) and Au at (0.000, 0.500, 0.000).

Its calculated volume is 131.9 Å³ per cell. Its total magnetic moment is 1.4 μB/f.u. The formation energy is 0.81 eV per atom.

VASP calculation (PBE) on a relaxed Nd8BiAu2 crystal.

It has space group C2/m (No. 12), with a = 17.757 Å, b = 5.119 Å, c = 8.340 Å, α = 90.00°, β = 116.36° and γ = 90.00°. The distinct sites, in fractional coordinates, are Nd at (0.048, 0.000, 0.251), Nd at (0.093, 0.500, 0.964), Nd at (0.178, 0.000, 0.772), Nd at (0.182, 0.500, 0.467), Bi at (0.000, 0.500, 0.500) and Au at (0.195, 0.000, 0.151).

Its calculated volume is 679.3 Å³ per cell. Its total magnetic moment is 0.0 μB/f.u. The formation energy is -0.42 eV per atom.

VASP calculation (PBE) on a relaxed MnZnCoAu crystal.

It has space group F-43m (No. 216), with a = 6.087 Å, b = 6.087 Å, c = 6.087 Å, α = 90.00°, β = 90.00° and γ = 90.00°. The distinct sites, in fractional coordinates, are Mn at (0.000, 0.000, 0.000), Zn at (0.000, 0.000, 0.500), Co at (0.250, 0.250, 0.750) and Au at (0.250, 0.250, 0.250).

Its calculated volume is 225.5 Å³ per cell. Its total magnetic moment is 4.8 μB/f.u. The formation energy is -0.01 eV per atom.

VASP calculation (PBE) on a relaxed Ce3Tl3PtSe8 crystal.

It has space group R-3m (No. 166, hexagonal axes), with a = 8.2852 Å, b = 8.2852 Å, c = 23.8092 Å, α = 90.00°, β = 90.00° and γ = 120.00°. The distinct sites, in fractional coordinates, are Ce at (0.0000, 0.5000, 0.0000), Tl at (0.0000, 0.5000, 0.5000), Pt at (0.0000, 0.0000, 0.0000), Se at (0.0000, 0.0000, 0.2627) and Se at (0.0288, 0.5144, 0.7308).

Its calculated volume is 1415.5 Å³ per cell. Its total magnetic moment is 2.0 μB/f.u. As for the formation energy without anion corrections: -1.0533 eV/atom.

VASP calculation (PBE) on a relaxed InPb2SBr crystal.

It has space group P4/mmm (No. 123), with a = 5.774 Å, b = 5.774 Å, c = 5.127 Å, α = 90.00°, β = 90.00° and γ = 90.00°. The distinct sites, in fractional coordinates, are In at (0.000, 0.000, 0.000), Pb at (0.000, 0.500, 0.500), S at (0.500, 0.500, 0.000) and Br at (0.500, 0.500, 0.500).

Its calculated volume is 170.9 Å³ per cell. Its total magnetic moment is 0.0 μB/f.u. As for the formation energy without anion corrections: 0.4427 eV/atom.

VASP calculation (PBE) on a relaxed AgPRhS2 crystal.

It has space group P4/mmm (No. 123), with a = 4.874 Å, b = 4.874 Å, c = 4.346 Å, α = 90.00°, β = 90.00° and γ = 90.00°. The distinct sites, in fractional coordinates, are Ag at (0.000, 0.000, 0.000), P at (0.500, 0.500, 0.000), Rh at (0.500, 0.500, 0.500) and S at (0.000, 0.500, 0.500).

Its calculated volume is 103.2 Å³ per cell. The value obtained for the offset from the most stable computed form is 0.000 eV per formula unit. Its total magnetic moment is 0.7 μB/f.u. As for the formation energy without anion corrections: 0.5461 eV/atom.

VASP calculation (PBE) on a relaxed Sr2ZnCu12Ni3 crystal.

It has space group R-3m (No. 166, hexagonal axes), with a = 8.1505 Å, b = 8.1505 Å, c = 17.9080 Å, α = 90.00°, β = 90.00° and γ = 120.00°. The distinct sites, in fractional coordinates, are Sr at (0.0000, 0.0000, 0.1048), Zn at (0.0000, 0.0000, 0.5000), Cu at (0.0165, 0.5082, 0.1314), Cu at (0.1040, 0.2081, 0.7322) and Ni at (0.0000, 0.5000, 0.0000).

Its calculated volume is 1030.3 Å³ per cell. Its total magnetic moment is 0.0 μB/f.u. The formation energy is 0.40 eV per atom.

VASP calculation (PBE) on a relaxed Cu3Pt crystal.

It has space group Pm-3m (No. 221), with a = 4.785 Å, b = 4.785 Å, c = 4.785 Å, α = 90.00°, β = 90.00° and γ = 90.00°. The distinct sites, in fractional coordinates, are Cu at (0.000, 0.000, 0.500) and Pt at (0.000, 0.000, 0.000).

Its calculated volume is 109.6 Å³ per cell. Its total magnetic moment is 0.0 μB/f.u. The formation energy is 1.11 eV per atom.

VASP calculation (PBE) on a relaxed Ac2AlGaNi6 crystal.

It has space group P-1 (No. 2), with a = 5.152 Å, b = 6.447 Å, c = 6.471 Å, α = 77.94°, β = 66.60° and γ = 66.53°. The distinct sites, in fractional coordinates, are Ac at (0.248, 0.302, 0.201), Al at (0.000, 0.000, 0.000), Ga at (0.500, 0.500, 0.500), Ni at (0.222, 0.779, 0.277), Ni at (0.249, 0.912, 0.590) and Ni at (0.280, 0.220, 0.723).

Its calculated volume is 180.6 Å³ per cell. Its total magnetic moment is 0.0 μB/f.u. The formation energy is -0.38 eV per atom.

VASP calculation (PBE) on a relaxed K4Rb3Au crystal.

It has space group Pmmn (No. 59, origin choice 2), with a = 6.445 Å, b = 13.961 Å, c = 11.736 Å, α = 90.00°, β = 90.00° and γ = 90.00°. The distinct sites, in fractional coordinates, are K at (0.250, 0.029, 0.175), K at (0.250, 0.250, 0.887), K at (0.250, 0.750, 0.529), Rb at (0.250, 0.083, 0.575), Rb at (0.250, 0.750, 0.856) and Au at (0.250, 0.250, 0.335).

Its calculated volume is 1055.9 Å³ per cell. Its total magnetic moment is 0.0 μB/f.u. The formation energy is -0.03 eV per atom.

VASP calculation (PBE) on a relaxed RbTePb crystal.

It has space group P3m1 (No. 156), with a = 5.4631 Å, b = 5.4631 Å, c = 4.8578 Å, α = 90.00°, β = 90.00° and γ = 120.00°. The distinct sites, in fractional coordinates, are Rb at (0.0000, 0.0000, 0.0000), Te at (0.6667, 0.3333, 0.5016) and Pb at (0.3333, 0.6667, 0.4996).

Its calculated volume is 125.6 Å³ per cell. The value obtained for the offset from the most stable computed form is 0.210 eV per formula unit. Its total magnetic moment is 0.0 μB/f.u. As for the formation energy without anion corrections: -0.4566 eV/atom.